Record 1
Material: Tm4IrPt2
Method: DFT, PBE
State: optimized geometry

Output
As for the distance to the lowest polymorph of the same formula: 0.0000 eV/atom. The value obtained for the energy of formation from the pure elements is -1.079 eV per atom.

Cell: 4.808 4.808 8.357 Å, 73.28 73.28 60.00°
Atoms (fractional coordinates):
1 Tm 0.876 0.876 0.372
2 Tm 0.374 0.374 0.877
3 Tm 0.626 0.626 0.123
4 Tm 0.124 0.124 0.628
5 Pt 0.248 0.248 0.255
6 Pt 0.752 0.752 0.745
7 Ir 0.000 0.000 0.000

Record 2
Material: Ac2CuPt3
Method: DFT, PBE
State: optimized geometry

Output
As for the distance to the lowest polymorph of the same formula: 0.0000 eV/atom. The value obtained for the energy of formation from the pure elements is -0.908 eV per atom.

Cell: 6.090 6.090 8.860 Å, 108.20 108.20 95.25°
Atoms (fractional coordinates):
1 Pt 0.172 0.172 0.344
2 Pt 0.656 0.172 0.829
3 Pt 0.828 0.344 0.171
4 Pt 0.344 0.828 0.171
5 Pt 0.172 0.656 0.829
6 Pt 0.828 0.828 0.656
7 Cu 0.667 0.667 0.334
8 Cu 0.333 0.333 0.666
9 Ac 0.248 0.248 0.000
10 Ac 0.750 0.250 0.500
11 Ac 0.250 0.750 0.500
12 Ac 0.752 0.752 0.000

Record 3
Material: SnTeAuN2
Method: DFT, PBE
State: optimized geometry

Output
As for the distance to the lowest polymorph of the same formula: 0.0000 eV/atom. The value obtained for the formation energy (no corrections) is 6.6 eV/f.u.

Cell: 4.032 4.032 6.679 Å, 90.00 90.00 90.00°
Atoms (fractional coordinates):
1 N 0.500 0.000 0.000
2 N 0.000 0.500 0.000
3 Sn 0.000 0.000 0.000
4 Au 0.500 0.500 0.500
5 Te 0.000 0.000 0.500

Record 4
Material: Na2LaFe
Method: DFT, PBE
State: optimized geometry

Output
As for the distance to the lowest polymorph of the same formula: 0.1267 eV/atom. The value obtained for the energy of formation from the pure elements is 0.754 eV per atom.

Cell: 5.330 5.330 5.330 Å, 60.00 60.00 60.00°
Atoms (fractional coordinates):
1 La 0.500 0.500 0.500
2 Na 0.250 0.250 0.250
3 Na 0.750 0.750 0.750
4 Fe 0.000 0.000 0.000

Record 5
Material: Ba2TiTl3Se6
Method: DFT, PBE
State: optimized geometry

Output
The value obtained for the formation energy (no corrections) is -12.6 eV/f.u.

Cell: 7.866 7.866 7.635 Å, 100.35 100.35 120.68°
Atoms (fractional coordinates):
1 Ti 0.000 0.000 0.000
2 Ba 0.667 0.333 0.000
3 Ba 0.333 0.667 0.000
4 Tl 0.159 0.841 0.500
5 Tl 0.841 0.159 0.500
6 Tl 0.500 0.500 0.500
7 Se 0.924 0.655 0.786
8 Se 0.345 0.076 0.214
9 Se 0.204 0.204 0.781
10 Se 0.796 0.796 0.219
11 Se 0.655 0.924 0.786
12 Se 0.076 0.345 0.214

Record 6
Material: NbV5Re6
Method: DFT, PBE
State: optimized geometry

Output
The value obtained for the energy of formation from the pure elements is -0.310 eV per atom.

Cell: 4.340 6.150 6.865 Å, 90.00 71.57 90.00°
Atoms (fractional coordinates):
1 V 0.668 0.000 0.663
2 V 0.332 0.000 0.337
3 V 0.000 0.500 0.000
4 V 0.333 0.500 0.335
5 V 0.667 0.500 0.665
6 Re 0.169 0.254 0.661
7 Re 0.169 0.746 0.661
8 Re 0.831 0.254 0.339
9 Re 0.500 0.257 0.000
10 Re 0.500 0.743 0.000
11 Re 0.831 0.746 0.339
12 Nb 0.000 0.000 0.000

Record 7
Material: RbMnS2
Method: DFT, PBE
State: optimized geometry

Output
The value obtained for the formation energy (no corrections) is -3.3 eV/f.u.

Cell: 5.897 6.854 6.854 Å, 112.72 102.67 102.67°
Atoms (fractional coordinates):
1 S 0.887 0.400 0.210
2 S 0.613 0.790 0.600
3 S 0.113 0.600 0.790
4 S 0.387 0.210 0.400
5 Rb 0.750 0.854 0.146
6 Rb 0.250 0.146 0.854
7 Mn 0.750 0.490 0.510
8 Mn 0.250 0.510 0.490

Record 8
Material: PmNbPd
Method: DFT, PBE
State: optimized geometry

Output
The value obtained for the energy of formation from the pure elements is -0.105 eV per atom.

Cell: 4.923 3.484 10.787 Å, 90.00 90.00 134.96°
Atoms (fractional coordinates):
1 Nb 0.694 0.389 0.624
2 Nb 0.694 0.389 0.376
3 Pm 0.194 0.389 0.172
4 Pm 0.194 0.389 0.828
5 Pd 0.694 0.389 0.000
6 Pd 0.194 0.389 0.500

Record 9
Material: Tm2GaSi3Ni4
Method: DFT, PBE
State: optimized geometry

Output
The value obtained for the formation energy (no corrections) is -7.9 eV/f.u.

Cell: 3.948 3.948 9.603 Å, 90.00 90.00 90.00°
Atoms (fractional coordinates):
1 Si 0.500 0.000 0.873
2 Si 0.000 0.000 0.500
3 Si 0.000 0.500 0.127
4 Ni 0.500 0.500 0.000
5 Ni 0.000 0.000 0.000
6 Ni 0.000 0.500 0.362
7 Ni 0.500 0.000 0.638
8 Ga 0.500 0.500 0.500
9 Tm 0.500 0.000 0.247
10 Tm 0.000 0.500 0.753

Record 10
Material: Mg2PbF
Method: DFT, PBE
State: optimized geometry

Output
As for the distance to the lowest polymorph of the same formula: 0.3495 eV/atom. The value obtained for the formation energy (no corrections) is -2.7 eV/f.u.

Cell: 4.889 4.889 4.889 Å, 60.00 60.00 60.00°
Atoms (fractional coordinates):
1 Mg 0.250 0.250 0.250
2 Mg 0.750 0.750 0.750
3 Pb 0.500 0.500 0.500
4 F 0.000 0.000 0.000

Record 11
Material: Te2OsAu
Method: DFT, PBE
State: optimized geometry

Output
As for the distance to the lowest polymorph of the same formula: 0.5982 eV/atom. The value obtained for the formation energy (no corrections) is 3.1 eV/f.u.

Cell: 4.947 4.947 3.415 Å, 90.00 90.00 101.96°
Atoms (fractional coordinates):
1 Te 0.500 0.500 0.000
2 Te 0.000 0.000 0.000
3 Os 0.000 0.500 0.500
4 Au 0.500 0.000 0.500

Record 12
Material: MgAgPd
Method: DFT, PBE
State: optimized geometry

Output
As for the distance to the lowest polymorph of the same formula: 0.0330 eV/atom. The value obtained for the energy of formation from the pure elements is -0.386 eV per atom.

Cell: 3.293 3.293 5.236 Å, 108.33 108.33 90.00°
Atoms (fractional coordinates):
1 Mg 0.292 0.292 0.585
2 Pd 0.940 0.940 0.881
3 Ag 0.617 0.617 0.235

no.,Fermi-level density of states (states/eV/cell),total energy (eV per cell)
1,1.67,-46.38
2,7.07,-71.76
3,8.13,-20.48
4,5.18,-13.01
5,3.69,-52.32
6,6.18,-134.07
7,2.55,-43.46
8,7.04,-40.66
9,5.89,-59.28
10,3.68,-11.47
11,3.38,-17.69
12,1.04,-10.80